(1)
## RbPt2 (GGA-PBE)

Data for RbPt2 after structural relaxation.

Cell and atoms, written as POSCAR:
```
RbPt2
1.0
10.164 4.222 -3.732
-10.940 -3.772 1.069
-1.389 4.350 1.139
Rb Pt
2 4
direct
0.877 0.123 0.250
0.123 0.877 0.750
0.516 0.484 0.250
0.245 0.755 0.250
0.484 0.516 0.750
0.755 0.245 0.750
```

Computed properties:
DOS(E_F): 1.005 states/eV per atom
formation energy: 0.125 eV per atom
electronic total energy: -4.225 eV/atom



(2)
## RbPt2 (GGA-PBE)

Data for RbPt2 after structural relaxation.

Cell and atoms, written as POSCAR:
```
RbPt2
1.0
2.925 0.000 0.000
-1.463 2.533 0.000
0.000 0.000 8.128
Rb Pt
1 2
direct
0.000 0.000 0.000
0.333 0.667 0.645
0.667 0.333 0.355
```

Computed properties:
DOS(E_F): 1.267 states/eV per atom
formation energy: 0.557 eV per atom
electronic total energy: -3.793 eV/atom



(3)
## Rb3Pt (GGA-PBE)

Data for Rb3Pt after structural relaxation.

Cell and atoms, written as POSCAR:
```
Rb3Pt
1.0
9.118 0.000 0.000
0.000 10.860 0.000
0.000 0.000 7.633
Rb Pt
12 4
direct
0.046 0.250 0.857
0.162 0.069 0.336
0.162 0.431 0.336
0.338 0.569 0.836
0.338 0.931 0.836
0.454 0.750 0.357
0.546 0.250 0.643
0.662 0.069 0.164
0.662 0.431 0.164
0.838 0.569 0.664
0.838 0.931 0.664
0.954 0.750 0.143
0.124 0.750 0.545
0.376 0.250 0.045
0.624 0.750 0.955
0.876 0.250 0.455
```

Computed properties:
DOS(E_F): 0.705 states/eV per atom
formation energy: 0.077 eV per atom
electronic total energy: -2.159 eV/atom



(4)
## Rb4Pt (GGA-PBE)

Data for Rb4Pt after structural relaxation.

Cell and atoms, written as POSCAR:
```
Rb4Pt
1.0
7.459 -4.137 -0.960
-7.278 1.425 4.320
-3.909 -4.484 -6.187
Rb Pt
4 1
direct
0.458 0.275 0.734
0.725 0.458 0.183
0.542 0.725 0.266
0.275 0.542 0.817
0.000 0.000 0.000
```

Computed properties:
DOS(E_F): 0.401 states/eV per atom
formation energy: 0.058 eV per atom
electronic total energy: -1.924 eV/atom



(5)
## Rb3Pt (GGA-PBE)

Data for Rb3Pt after structural relaxation.

Cell and atoms, written as POSCAR:
```
Rb3Pt
1.0
6.464 0.026 0.057
-2.533 5.947 0.057
-2.533 -3.850 4.534
Rb Pt
3 1
direct
0.000 0.000 0.000
0.000 0.500 0.500
0.500 0.500 0.000
0.500 0.000 0.500
```

Computed properties:
DOS(E_F): 0.667 states/eV per atom
formation energy: 0.357 eV per atom
electronic total energy: -1.879 eV/atom



(6)
## RbPt3 (GGA-PBE)

Data for RbPt3 after structural relaxation.

Cell and atoms, written as POSCAR:
```
RbPt3
1.0
-3.196 -1.485 2.388
0.251 -3.751 -1.996
2.801 -1.358 2.904
Rb Pt
1 3
direct
0.000 0.000 0.000
0.000 0.500 0.500
0.500 0.000 0.500
0.500 0.500 0.000
```

Computed properties:
DOS(E_F): 1.029 states/eV per atom
formation energy: 0.682 eV per atom
electronic total energy: -4.091 eV/atom



(7)
## RbPt7 (GGA-PBE)

Data for RbPt7 after structural relaxation.

Cell and atoms, written as POSCAR:
```
RbPt7
1.0
0.000 4.084 4.084
4.084 0.000 4.084
4.084 4.084 0.000
Rb Pt
1 7
direct
0.000 0.000 0.000
0.500 0.000 0.000
0.000 0.000 0.500
0.500 0.000 0.500
0.000 0.500 0.000
0.500 0.500 0.000
0.000 0.500 0.500
0.500 0.500 0.500
```

Computed properties:
DOS(E_F): 1.658 states/eV per atom
formation energy: 0.370 eV per atom
electronic total energy: -5.036 eV/atom



(8)
## Rb4Pt (GGA-PBE)

Data for Rb4Pt after structural relaxation.

Cell and atoms, written as POSCAR:
```
Rb4Pt
1.0
8.291 0.000 0.000
0.000 8.696 0.000
0.000 0.000 8.696
Rb Pt
8 2
direct
0.500 0.659 0.229
0.000 0.659 0.771
0.000 0.771 0.341
0.500 0.771 0.659
0.000 0.229 0.659
0.500 0.229 0.341
0.000 0.341 0.229
0.500 0.341 0.771
0.750 0.500 0.500
0.250 0.500 0.500
```

Computed properties:
DOS(E_F): 0.519 states/eV per atom
formation energy: 0.060 eV per atom
electronic total energy: -1.922 eV/atom



(9)
## Rb4Pt (GGA-PBE)

Data for Rb4Pt after structural relaxation.

Cell and atoms, written as POSCAR:
```
Rb4Pt
1.0
-2.611 2.611 11.776
2.611 -2.611 11.776
2.611 2.611 -11.776
Rb Pt
4 1
direct
0.750 0.250 0.500
0.429 0.429 0.000
0.571 0.571 0.000
0.250 0.750 0.500
0.000 0.000 0.000
```

Computed properties:
DOS(E_F): 1.898 states/eV per atom
formation energy: 0.505 eV per atom
electronic total energy: -1.477 eV/atom



(10)
## Rb3Pt (GGA-PBE)

Data for Rb3Pt after structural relaxation.

Cell and atoms, written as POSCAR:
```
Rb3Pt
1.0
4.557 -7.893 0.000
4.557 7.893 0.000
0.000 0.000 5.190
Rb Pt
6 2
direct
0.194 0.389 0.750
0.194 0.806 0.750
0.389 0.194 0.250
0.806 0.194 0.250
0.806 0.611 0.250
0.611 0.806 0.750
0.333 0.667 0.250
0.667 0.333 0.750
```

Computed properties:
DOS(E_F): 0.367 states/eV per atom
formation energy: 0.117 eV per atom
electronic total energy: -2.119 eV/atom



(11)
## RbPt8 (GGA-PBE)

Data for RbPt8 after structural relaxation.

Cell and atoms, written as POSCAR:
```
RbPt8
1.0
1.527 -7.322 1.668
-0.129 7.631 0.684
-7.140 -0.612 2.713
Rb Pt
1 8
direct
0.000 0.000 0.000
0.332 0.000 0.332
0.668 0.000 0.668
0.000 0.668 0.668
0.325 0.675 0.000
0.675 0.675 0.349
0.000 0.332 0.332
0.325 0.325 0.651
0.675 0.325 0.000
```

Computed properties:
DOS(E_F): 1.302 states/eV per atom
formation energy: 0.338 eV per atom
electronic total energy: -5.139 eV/atom



(12)
## Rb3Pt5 (GGA-PBE)

Data for Rb3Pt5 after structural relaxation.

Cell and atoms, written as POSCAR:
```
Rb3Pt5
1.0
11.878 0.014 -0.002
-10.796 4.953 -0.002
-0.550 -2.526 8.889
Rb Pt
6 10
direct
0.192 0.308 0.500
0.157 0.344 0.000
0.312 0.812 0.112
0.688 0.188 0.889
0.844 0.657 0.000
0.808 0.692 0.500
0.017 0.669 0.691
0.335 0.029 0.354
0.251 0.751 0.498
0.169 0.517 0.691
0.472 0.166 0.647
0.529 0.835 0.354
0.832 0.484 0.310
0.750 0.250 0.503
0.666 0.972 0.647
0.984 0.332 0.310
```

Computed properties:
DOS(E_F): 1.019 states/eV per atom
formation energy: 0.186 eV per atom
electronic total energy: -3.952 eV/atom



(13)
## Rb3Pt (GGA-PBE)

Data for Rb3Pt after structural relaxation.

Cell and atoms, written as POSCAR:
```
Rb3Pt
1.0
8.219 0.000 0.000
-4.109 7.118 0.000
0.000 0.000 11.413
Rb Pt
12 4
direct
0.000 0.500 0.000
0.000 0.500 0.500
0.143 0.287 0.750
0.143 0.857 0.750
0.287 0.143 0.250
0.500 0.000 0.000
0.500 0.000 0.500
0.500 0.500 0.000
0.500 0.500 0.500
0.713 0.857 0.750
0.857 0.143 0.250
0.857 0.713 0.250
0.000 0.000 0.000
0.000 0.000 0.500
0.333 0.667 0.250
0.667 0.333 0.750
```

Computed properties:
DOS(E_F): 0.332 states/eV per atom
formation energy: 0.168 eV per atom
electronic total energy: -2.068 eV/atom



(14)
## RbRePt (GGA-PBE)

Data for RbRePt after structural relaxation.

Cell and atoms, written as POSCAR:
```
RbRePt
1.0
-5.546 -1.299 -9.770
6.166 -4.319 7.662
-2.234 -3.877 0.136
Re Pt Rb
2 2 2
direct
0.117 0.547 0.238
0.629 0.031 0.051
0.690 0.974 0.498
0.056 0.603 0.791
0.468 0.196 0.837
0.279 0.382 0.452
```

Computed properties:
DOS(E_F): 0.925 states/eV per atom
formation energy: 0.389 eV per atom
electronic total energy: -6.097 eV/atom



(15)
## Rb3RePt (GGA-PBE)

Data for Rb3RePt after structural relaxation.

Cell and atoms, written as POSCAR:
```
Rb3RePt
1.0
6.352 0.000 0.000
0.000 6.352 0.000
0.000 0.000 6.352
Re Rb Pt
1 3 1
direct
0.500 0.500 0.500
0.000 0.500 0.000
0.000 0.000 0.500
0.500 0.000 0.000
0.000 0.000 0.000
```

Computed properties:
DOS(E_F): 1.540 states/eV per atom
formation energy: 1.368 eV per atom
electronic total energy: -2.910 eV/atom



(16)
## RbRePt (GGA-PBE)

Data for RbRePt after structural relaxation.

Cell and atoms, written as POSCAR:
```
RbRePt
1.0
0.000 3.422 3.422
3.422 0.000 3.422
3.422 3.422 0.000
Re Rb Pt
1 1 1
direct
0.750 0.750 0.750
0.250 0.250 0.250
0.500 0.500 0.500
```

Computed properties:
DOS(E_F): 0.338 states/eV per atom
formation energy: 1.860 eV per atom
electronic total energy: -4.626 eV/atom



(17)
## RbRePt (GGA-PBE)

Data for RbRePt after structural relaxation.

Cell and atoms, written as POSCAR:
```
RbRePt
1.0
5.272 -3.044 0.000
0.000 6.087 0.000
0.000 0.000 9.573
Re Rb Pt
2 2 2
direct
0.000 0.000 0.250
0.000 0.000 0.750
0.333 0.667 0.250
0.667 0.333 0.750
0.000 0.000 0.000
0.000 0.000 0.500
```

Computed properties:
DOS(E_F): 0.851 states/eV per atom
formation energy: 1.819 eV per atom
electronic total energy: -4.667 eV/atom



(18)
## RbRe2Pt (GGA-PBE)

Data for RbRe2Pt after structural relaxation.

Cell and atoms, written as POSCAR:
```
RbRe2Pt
1.0
0.000 3.268 3.268
3.268 0.000 3.268
3.268 3.268 0.000
Re Rb Pt
2 1 1
direct
0.250 0.250 0.250
0.750 0.750 0.750
0.000 0.000 0.000
0.500 0.500 0.500
```

Computed properties:
DOS(E_F): 2.128 states/eV per atom
formation energy: 1.986 eV per atom
electronic total energy: -5.990 eV/atom



(19)
## RbRePt (GGA-PBE)

Data for RbRePt after structural relaxation.

Cell and atoms, written as POSCAR:
```
RbRePt
1.0
4.600 0.000 0.000
0.000 6.399 -2.586
0.000 6.399 2.586
Re Rb Pt
2 2 2
direct
0.000 0.959 0.541
0.000 0.459 0.041
0.500 0.959 0.041
0.000 0.459 0.541
0.500 0.233 0.315
0.500 0.685 0.767
```

Computed properties:
DOS(E_F): 0.920 states/eV per atom
formation energy: 0.498 eV per atom
electronic total energy: -5.987 eV/atom



(20)
## RbRePt (GGA-PBE)

Data for RbRePt after structural relaxation.

Cell and atoms, written as POSCAR:
```
RbRePt
1.0
-16.035 2.770 -32.184
-5.483 -1.542 -10.864
3.359 -2.103 11.609
Re Rb Pt
2 2 2
direct
0.016 0.086 0.914
0.349 0.086 0.914
0.446 0.093 0.907
0.253 0.078 0.922
0.719 0.088 0.912
0.646 0.083 0.917
```

Computed properties:
DOS(E_F): 0.463 states/eV per atom
formation energy: 0.255 eV per atom
electronic total energy: -6.231 eV/atom



(21)
## RbRePt (GGA-PBE)

Data for RbRePt after structural relaxation.

Cell and atoms, written as POSCAR:
```
RbRePt
1.0
-0.426 2.471 -4.173
-3.085 0.863 3.665
3.926 4.476 2.250
Re Rb Pt
2 2 2
direct
0.333 0.667 0.057
0.667 0.333 0.557
0.000 0.000 0.735
0.000 0.000 0.235
0.333 0.667 0.458
0.667 0.333 0.958
```

Computed properties:
DOS(E_F): 0.834 states/eV per atom
formation energy: 1.607 eV per atom
electronic total energy: -4.878 eV/atom



(22)
## RbRePt (GGA-PBE)

Data for RbRePt after structural relaxation.

Cell and atoms, written as POSCAR:
```
RbRePt
1.0
2.279 -6.466 0.000
2.279 6.466 0.000
0.000 0.000 5.148
Re Rb Pt
2 2 2
direct
0.000 0.000 0.000
0.000 0.000 0.500
0.276 0.724 0.250
0.724 0.276 0.750
0.532 0.468 0.250
0.468 0.532 0.750
```

Computed properties:
DOS(E_F): 0.865 states/eV per atom
formation energy: 0.459 eV per atom
electronic total energy: -6.026 eV/atom



(23)
## RbRePt (GGA-PBE)

Data for RbRePt after structural relaxation.

Cell and atoms, written as POSCAR:
```
RbRePt
1.0
5.849 0.000 0.000
0.000 4.459 0.000
0.000 0.000 10.983
Re Rb Pt
4 4 4
direct
0.020 0.250 0.819
0.480 0.750 0.319
0.980 0.750 0.181
0.520 0.250 0.681
0.974 0.250 0.391
0.526 0.750 0.891
0.026 0.750 0.609
0.474 0.250 0.109
0.477 0.250 0.429
0.023 0.750 0.929
0.523 0.750 0.571
0.977 0.250 0.071
```

Computed properties:
DOS(E_F): 1.530 states/eV per atom
formation energy: 1.107 eV per atom
electronic total energy: -5.378 eV/atom



(24)
## RbRePt (GGA-PBE)

Data for RbRePt after structural relaxation.

Cell and atoms, written as POSCAR:
```
RbRePt
1.0
4.068 -2.349 0.000
0.000 4.698 0.000
0.000 0.000 8.304
Re Rb Pt
2 2 2
direct
0.333 0.667 0.142
0.333 0.667 0.858
0.667 0.333 0.000
0.667 0.333 0.500
0.000 0.000 0.180
0.000 0.000 0.820
```

Computed properties:
DOS(E_F): 1.034 states/eV per atom
formation energy: 1.063 eV per atom
electronic total energy: -5.423 eV/atom



(25)
## RbRePt (GGA-PBE)

Data for RbRePt after structural relaxation.

Cell and atoms, written as POSCAR:
```
RbRePt
1.0
-14.019 0.443 2.052
-2.482 0.295 -3.477
1.997 -3.680 0.898
Re Rb Pt
2 2 2
direct
0.999 0.835 0.165
0.001 0.165 0.835
0.696 0.474 0.526
0.304 0.526 0.474
0.886 0.615 0.385
0.114 0.385 0.615
```

Computed properties:
DOS(E_F): 0.796 states/eV per atom
formation energy: 0.252 eV per atom
electronic total energy: -6.233 eV/atom



(26)
## RbRePt (GGA-PBE)

Data for RbRePt after structural relaxation.

Cell and atoms, written as POSCAR:
```
RbRePt
1.0
-1.295 -1.108 -3.385
-0.940 -3.368 1.463
-11.241 4.383 2.867
Re Rb Pt
2 2 2
direct
0.000 0.000 0.500
0.500 0.500 0.500
0.000 0.500 0.180
0.500 0.000 0.820
0.000 0.500 0.648
0.500 0.000 0.352
```

Computed properties:
DOS(E_F): 1.155 states/eV per atom
formation energy: 0.569 eV per atom
electronic total energy: -5.916 eV/atom



Record-wise total magnetic moment values, in Bohr magnetons per cell: 0.0, 0.0, 1.4, 0.0, 0.0, 0.0, 0.0, 0.0, 0.2, 0.0, 0.0, 0.0, 0.0, 0.0, 4.0, 4.0, 6.3, 0.0, 0.0, 0.0, 0.0, 0.0, 0.0, 0.0, 0.0, 0.0